No. 1
{
  "formula": "AcMgGe",
  "functional": "PBE",
  "state": "optimized geometry",
  "lattice": [[-2.240, 2.240, 8.256], [2.240, -2.240, 8.256], [2.240, 2.240, -8.256]],
  "species": ["Ac", "Ac", "Mg", "Mg", "Ge", "Ge"],
  "fractional_positions": [[0.168, 0.168, 0.000], [0.832, 0.832, 0.000], [0.000, 0.500, 0.500], [0.500, 0.000, 0.500], [0.377, 0.377, 0.000], [0.623, 0.623, 0.000]],
  "polymorph_energy_mev_per_atom": 0,
  "e_form_kj_per_mol_atoms": -54
}

---

No. 2
{
  "formula": "HfZnCo2H",
  "functional": "PBE",
  "state": "optimized geometry",
  "lattice": [[3.948, 0.000, 0.000], [0.000, 3.948, 0.000], [0.000, 0.000, 3.634]],
  "species": ["Hf", "Zn", "Co", "Co", "H"],
  "fractional_positions": [[0.000, 0.000, 0.000], [0.500, 0.500, 0.000], [0.000, 0.500, 0.500], [0.500, 0.000, 0.500], [0.500, 0.500, 0.500]],
  "polymorph_energy_mev_per_atom": 69
}

---

No. 3
{
  "formula": "HPb2SeO6",
  "functional": "PBE",
  "state": "optimized geometry",
  "lattice": [[3.849, -3.849, 0.000], [3.849, 3.849, 0.000], [-3.839, 0.000, 4.660]],
  "species": ["H", "Pb", "Pb", "Se", "O", "O", "O", "O", "O", "O"],
  "fractional_positions": [[0.000, 0.000, 0.000], [0.302, 0.803, 0.607], [0.803, 0.302, 0.607], [0.601, 0.601, 0.202], [0.416, 0.416, 0.833], [0.418, 0.418, 0.290], [0.418, 0.872, 0.290], [0.871, 0.871, 0.289], [0.872, 0.418, 0.290], [0.896, 0.896, 0.789]],
  "final_energy_ha_per_atom": -0.190
}

---

No. 4
{
  "formula": "LiCa2Al3Ag12",
  "functional": "PBE",
  "state": "optimized geometry",
  "lattice": [[4.774, 2.757, 4.552], [-4.774, 2.757, 4.552], [0.000, -5.513, 4.552]],
  "species": ["Li", "Ca", "Ca", "Al", "Al", "Al", "Ag", "Ag", "Ag", "Ag", "Ag", "Ag", "Ag", "Ag", "Ag", "Ag", "Ag", "Ag"],
  "fractional_positions": [[0.000, 0.000, 0.000], [0.305, 0.305, 0.305], [0.695, 0.695, 0.695], [0.000, 0.000, 0.500], [0.000, 0.500, 0.000], [0.500, 0.000, 0.000], [0.112, 0.600, 0.600], [0.191, 0.191, 0.708], [0.191, 0.708, 0.191], [0.292, 0.809, 0.809], [0.400, 0.400, 0.888], [0.400, 0.888, 0.400], [0.600, 0.112, 0.600], [0.600, 0.600, 0.112], [0.708, 0.191, 0.191], [0.809, 0.292, 0.809], [0.809, 0.809, 0.292], [0.888, 0.400, 0.400]],
  "e_form_kj_per_mol_atoms": -2
}